Material: Ni2GePIr
Method: DFT, meta-GGA SCAN
State: PBEsol geometry

Properties
Total moment   0.0 μB/f.u.
Symmetry   P4/mmm
Formation energy   1.01 eV per atom

a = 4.219 Å, b = 4.219 Å, c = 4.546 Å
α = 90.00°, β = 90.00°, γ = 90.00°
Sites, in units of the cell vectors:
Ir1 0.000 0.000 0.500
Ni1 0.000 0.500 0.000
Ni2 0.500 0.000 0.000
P1 0.500 0.500 0.500
Ge1 0.000 0.000 0.000